# 1
A plane-wave DFT calculation with GGA-PBE was carried out for a relaxed BeReIr4 crystal.

The calculation puts the formation energy at 397 kJ/mol of formula units.

It has space group F-43m (No. 216), with a = 7.195 Å, b = 7.195 Å, c = 7.195 Å, α = 90.00°, β = 90.00° and γ = 90.00°. The asymmetric unit holds Be at (0.000, 0.000, 0.000), Re at (0.250, 0.250, 0.250) and Ir at (0.126, 0.126, 0.626).

# 2
A plane-wave DFT calculation with GGA-PBE was carried out for a relaxed Be3ReIr crystal.

The relative energy among the computed polymorphs comes out at 404 meV per atom. The calculation puts the formation energy at 619 kJ/mol of formula units.

It has space group Pm-3m (No. 221), with a = 4.080 Å, b = 4.080 Å, c = 4.080 Å, α = 90.00°, β = 90.00° and γ = 90.00°. The asymmetric unit holds Be at (0.000, 0.000, 0.500), Re at (0.000, 0.000, 0.000) and Ir at (0.500, 0.500, 0.500).

# 3
A plane-wave DFT calculation with GGA-PBE was carried out for a relaxed Be3ReIr crystal.

The relative energy among the computed polymorphs comes out at 0 meV per atom. The calculation puts the formation energy at 424 kJ/mol of formula units.

It has space group Pm-3m (No. 221), with a = 4.080 Å, b = 4.080 Å, c = 4.080 Å, α = 90.00°, β = 90.00° and γ = 90.00°. The asymmetric unit holds Be at (0.000, 0.000, 0.500), Re at (0.500, 0.500, 0.500) and Ir at (0.000, 0.000, 0.000).

# 4
A plane-wave DFT calculation with GGA-PBE was carried out for a relaxed BeReIr2 crystal.

The calculation puts the formation energy at -31 kJ/mol of formula units.

It has space group Pmm2 (No. 25), with a = 2.754 Å, b = 3.799 Å, c = 5.253 Å, α = 90.00°, β = 90.00° and γ = 90.00°. The asymmetric unit holds Be at (0.000, 0.000, 0.000), Re at (0.500, 0.500, 0.707), Ir at (0.000, 0.000, 0.494) and Ir at (0.500, 0.500, 0.171).

# 5
A plane-wave DFT calculation with GGA-PBE was carried out for a relaxed BeReIr2 crystal.

The calculation puts the formation energy at 69 kJ/mol of formula units.

It has space group Pmmm (No. 47), with a = 2.776 Å, b = 4.398 Å, c = 4.505 Å, α = 90.00°, β = 90.00° and γ = 90.00°. The asymmetric unit holds Be at (0.000, 0.000, 0.000), Re at (0.500, 0.000, 0.500), Ir at (0.000, 0.500, 0.500) and Ir at (0.500, 0.500, 0.000).

# 6
A plane-wave DFT calculation with GGA-PBE was carried out for a relaxed BeReIr2 crystal.

The calculation puts the formation energy at -80 kJ/mol of formula units.

It has space group P4mm (No. 99), with a = 2.787 Å, b = 2.787 Å, c = 6.663 Å, α = 90.00°, β = 90.00° and γ = 90.00°. The asymmetric unit holds Be at (0.000, 0.000, 0.000), Re at (0.500, 0.500, 0.764), Ir at (0.000, 0.000, 0.491) and Ir at (0.500, 0.500, 0.188).

# 7
A plane-wave DFT calculation with GGA-PBE was carried out for a relaxed BeReIr2 crystal.

The calculation puts the formation energy at 48 kJ/mol of formula units.

It has space group P4/mmm (No. 123), with a = 3.888 Å, b = 3.888 Å, c = 3.619 Å, α = 90.00°, β = 90.00° and γ = 90.00°. The asymmetric unit holds Be at (0.000, 0.000, 0.000), Re at (0.500, 0.500, 0.000) and Ir at (0.000, 0.500, 0.500).

# 8
A plane-wave DFT calculation with GGA-PBE was carried out for a relaxed BeReIr2 crystal.

The calculation puts the formation energy at -70 kJ/mol of formula units.

It has space group Imm2 (No. 44), with a = 2.805 Å, b = 4.341 Å, c = 8.580 Å, α = 90.00°, β = 90.00° and γ = 90.00°. The asymmetric unit holds Be at (0.000, 0.000, 0.000), Re at (0.000, 0.500, 0.274), Ir at (0.000, 0.000, 0.496) and Ir at (0.000, 0.500, 0.709).

# 9
A plane-wave DFT calculation with GGA-PBE was carried out for a relaxed BeReIr2 crystal.

The calculation puts the formation energy at 31 kJ/mol of formula units.

It has space group Cmmm (No. 65), with a = 2.788 Å, b = 4.634 Å, c = 8.401 Å, α = 90.00°, β = 90.00° and γ = 90.00°. The asymmetric unit holds Be at (0.000, 0.000, 0.000), Re at (0.000, 0.000, 0.500) and Ir at (0.000, 0.500, 0.221).

# 10
A plane-wave DFT calculation with GGA-PBE was carried out for a relaxed Be2ReIr2 crystal.

The relative energy among the computed polymorphs comes out at 0 meV per atom. The calculation puts the formation energy at -153 kJ/mol of formula units.

It has space group P4/mbm (No. 127), with a = 6.586 Å, b = 6.586 Å, c = 2.746 Å, α = 90.00°, β = 90.00° and γ = 90.00°. The asymmetric unit holds Be at (0.121, 0.379, 0.000), Re at (0.000, 0.000, 0.000) and Ir at (0.174, 0.674, 0.500).

# 11
A plane-wave DFT calculation with GGA-PBE was carried out for a relaxed BeReIr2 crystal.

The calculation puts the formation energy at -68 kJ/mol of formula units.

It has space group Immm (No. 71), with a = 2.794 Å, b = 4.385 Å, c = 8.467 Å, α = 90.00°, β = 90.00° and γ = 90.00°. The asymmetric unit holds Be at (0.000, 0.000, 0.000), Re at (0.000, 0.000, 0.500) and Ir at (0.000, 0.500, 0.281).

# 12
A plane-wave DFT calculation with GGA-PBE was carried out for a relaxed BeReIr2 crystal.

The calculation puts the formation energy at -23 kJ/mol of formula units.

It has space group Cmmm (No. 65), with a = 5.463 Å, b = 7.337 Å, c = 2.732 Å, α = 90.00°, β = 90.00° and γ = 90.00°. The asymmetric unit holds Be at (0.000, 0.000, 0.000), Re at (0.000, 0.500, 0.000) and Ir at (0.250, 0.250, 0.500).

# 13
A plane-wave DFT calculation with GGA-PBE was carried out for a relaxed BeReIr2 crystal.

The calculation puts the formation energy at -56 kJ/mol of formula units.

It has space group P2/m (No. 10), with a = 2.728 Å, b = 3.937 Å, c = 5.111 Å, α = 90.00°, β = 103.47° and γ = 90.00°. The asymmetric unit holds Be at (0.000, 0.000, 0.000), Re at (0.000, 0.000, 0.500) and Ir at (0.374, 0.500, 0.235).

# 14
A plane-wave DFT calculation with GGA-PBE was carried out for a relaxed BeReIr2 crystal.

The calculation puts the formation energy at 166 kJ/mol of formula units.

It has space group I-42d (No. 122), with a = 3.811 Å, b = 3.811 Å, c = 16.480 Å, α = 90.00°, β = 90.00° and γ = 90.00°. The asymmetric unit holds Be at (0.000, 0.000, 0.000), Re at (0.000, 0.000, 0.500) and Ir at (0.232, 0.250, 0.125).

# 15
A plane-wave DFT calculation with GGA-PBE was carried out for a relaxed BeReIr2 crystal.

The calculation puts the formation energy at -24 kJ/mol of formula units.

It has space group I4/mmm (No. 139), with a = 3.853 Å, b = 3.853 Å, c = 7.320 Å, α = 90.00°, β = 90.00° and γ = 90.00°. The asymmetric unit holds Be at (0.000, 0.000, 0.000), Re at (0.000, 0.000, 0.500) and Ir at (0.000, 0.500, 0.250).

# 16
A plane-wave DFT calculation with GGA-PBE was carried out for a relaxed BeReIr2 crystal.

The calculation puts the formation energy at -7 kJ/mol of formula units.

It has space group I-4m2 (No. 119), with a = 3.723 Å, b = 3.723 Å, c = 7.823 Å, α = 90.00°, β = 90.00° and γ = 90.00°. The asymmetric unit holds Be at (0.000, 0.000, 0.000), Re at (0.000, 0.500, 0.250), Ir at (0.000, 0.000, 0.500) and Ir at (0.000, 0.500, 0.750).

# 17
A plane-wave DFT calculation with GGA-PBE was carried out for a relaxed BeReIr2 crystal.

The calculation puts the formation energy at -49 kJ/mol of formula units.

It has space group R-3m (No. 166, hexagonal axes), with a = 2.7716 Å, b = 2.7716 Å, c = 24.1155 Å, α = 90.00°, β = 90.00° and γ = 120.00°. The asymmetric unit holds Be at (0.0000, 0.0000, 0.0000), Re at (0.0000, 0.0000, 0.5000) and Ir at (0.0000, 0.0000, 0.2571).

# 18
A plane-wave DFT calculation with GGA-PBE was carried out for a relaxed ScBeReIr2 crystal.

The calculation puts the formation energy at 651 kJ/mol of formula units.

It has space group P4/mmm (No. 123), with a = 4.738 Å, b = 4.738 Å, c = 4.883 Å, α = 90.00°, β = 90.00° and γ = 90.00°. The asymmetric unit holds Sc at (0.000, 0.000, 0.000), Be at (0.500, 0.500, 0.000), Re at (0.000, 0.000, 0.500) and Ir at (0.000, 0.500, 0.500).

# 19
A plane-wave DFT calculation with GGA-PBE was carried out for a relaxed Be2ReSiIr crystal.

As for the uncorrected formation energy: 0.909 eV per atom.

It has space group P4/mmm (No. 123), with a = 4.105 Å, b = 4.105 Å, c = 4.525 Å, α = 90.00°, β = 90.00° and γ = 90.00°. The asymmetric unit holds Be at (0.000, 0.500, 0.000), Re at (0.000, 0.000, 0.500), Si at (0.500, 0.500, 0.500) and Ir at (0.500, 0.500, 0.000).

# 20
A plane-wave DFT calculation with GGA-PBE was carried out for a relaxed BeIrRh2 crystal.

The calculation puts the formation energy at -78 kJ/mol of formula units.

It has space group Cm (No. 8), with a = 9.601 Å, b = 2.771 Å, c = 4.304 Å, α = 90.00°, β = 116.53° and γ = 90.00°. The asymmetric unit holds Be at (0.000, 0.000, 0.000), Ir at (0.284, 0.000, 0.783), Rh at (0.002, 0.500, 0.502) and Rh at (0.215, 0.500, 0.215).

# 21
A plane-wave DFT calculation with GGA-PBE was carried out for a relaxed BeIrRh2 crystal.

The calculation puts the formation energy at -44 kJ/mol of formula units.

It has space group Cmmm (No. 65), with a = 5.269 Å, b = 7.451 Å, c = 2.707 Å, α = 90.00°, β = 90.00° and γ = 90.00°. The asymmetric unit holds Be at (0.000, 0.000, 0.000), Ir at (0.000, 0.500, 0.000) and Rh at (0.250, 0.250, 0.500).

# 22
A plane-wave DFT calculation with GGA-PBE was carried out for a relaxed BeIrRh2 crystal.

The calculation puts the formation energy at -52 kJ/mol of formula units.

It has space group I-4m2 (No. 119), with a = 3.756 Å, b = 3.756 Å, c = 7.447 Å, α = 90.00°, β = 90.00° and γ = 90.00°. The asymmetric unit holds Be at (0.000, 0.000, 0.000), Ir at (0.000, 0.500, 0.750), Rh at (0.000, 0.000, 0.500) and Rh at (0.000, 0.500, 0.250).

# 23
A plane-wave DFT calculation with GGA-PBE was carried out for a relaxed BeIrRh2 crystal.

The calculation puts the formation energy at 0 kJ/mol of formula units.

It has space group Cmm2 (No. 35), with a = 2.741 Å, b = 4.633 Å, c = 8.337 Å, α = 90.00°, β = 90.00° and γ = 90.00°. The asymmetric unit holds Be at (0.000, 0.000, 0.000), Ir at (0.000, 0.500, 0.222), Rh at (0.000, 0.000, 0.503) and Rh at (0.000, 0.500, 0.783).

# 24
A plane-wave DFT calculation with GGA-PBE was carried out for a relaxed Be5IrRh4 crystal.

The calculation puts the formation energy at -581 kJ/mol of formula units.

It has space group P4/mmm (No. 123), with a = 2.791 Å, b = 2.791 Å, c = 13.946 Å, α = 90.00°, β = 90.00° and γ = 90.00°. The asymmetric unit holds Be at (0.000, 0.000, 0.000), Be at (0.000, 0.000, 0.199), Be at (0.000, 0.000, 0.400), Ir at (0.500, 0.500, 0.500), Rh at (0.500, 0.500, 0.100) and Rh at (0.500, 0.500, 0.299).

# 25
A plane-wave DFT calculation with GGA-PBE was carried out for a relaxed BeIrRh2 crystal.

The calculation puts the formation energy at -20 kJ/mol of formula units.

It has space group P4/mmm (No. 123), with a = 3.767 Å, b = 3.767 Å, c = 3.731 Å, α = 90.00°, β = 90.00° and γ = 90.00°. The asymmetric unit holds Be at (0.000, 0.000, 0.000), Ir at (0.500, 0.500, 0.000) and Rh at (0.000, 0.500, 0.500).

# 26
A plane-wave DFT calculation with GGA-PBE was carried out for a relaxed BeIrRh2 crystal.

The calculation puts the formation energy at -43 kJ/mol of formula units.

It has space group Pmmm (No. 47), with a = 2.726 Å, b = 3.689 Å, c = 5.239 Å, α = 90.00°, β = 90.00° and γ = 90.00°. The asymmetric unit holds Be at (0.000, 0.000, 0.000), Ir at (0.000, 0.000, 0.500) and Rh at (0.500, 0.500, 0.240).

# 27
A plane-wave DFT calculation with GGA-PBE was carried out for a relaxed Be4IrRh3 crystal.

The calculation puts the formation energy at -460 kJ/mol of formula units.

It has space group P4/mmm (No. 123), with a = 2.792 Å, b = 2.792 Å, c = 11.169 Å, α = 90.00°, β = 90.00° and γ = 90.00°. The asymmetric unit holds Be at (0.000, 0.000, 0.124), Be at (0.000, 0.000, 0.376), Ir at (0.500, 0.500, 0.000), Rh at (0.500, 0.500, 0.251) and Rh at (0.500, 0.500, 0.500).

# 28
A plane-wave DFT calculation with GGA-PBE was carried out for a relaxed BeIrRh2 crystal.

The calculation puts the formation energy at -62 kJ/mol of formula units.

It has space group Pm (No. 6), with a = 2.737 Å, b = 3.892 Å, c = 5.094 Å, α = 90.00°, β = 105.15° and γ = 90.00°. The asymmetric unit holds Be at (0.000, 0.000, 0.000), Ir at (0.161, 0.500, 0.279), Rh at (0.428, 0.500, 0.816) and Rh at (0.780, 0.000, 0.520).

# 29
A plane-wave DFT calculation with GGA-PBE was carried out for a relaxed BeIrRh2 crystal.

The calculation puts the formation energy at -103 kJ/mol of formula units.

It has space group P4/mmm (No. 123), with a = 2.742 Å, b = 2.742 Å, c = 6.693 Å, α = 90.00°, β = 90.00° and γ = 90.00°. The asymmetric unit holds Be at (0.000, 0.000, 0.000), Ir at (0.000, 0.000, 0.500) and Rh at (0.500, 0.500, 0.211).

Volume in Å³/cell, matching the order above: 372.5, 67.9, 67.9, 55.0, 55.0, 51.7, 54.7, 104.5, 108.5, 119.1, 103.7, 109.5, 53.4, 239.3, 108.6, 108.4, 160.4, 109.6, 76.2, 102.5, 106.3, 105.1, 105.9, 108.7, 52.9, 52.7, 87.0, 52.4, 50.3
Raw total energy in eV/atom, matching the order above: -7.918, -5.214, -5.619, -8.553, -8.294, -8.680, -8.351, -8.656, -8.393, -7.842, -8.649, -8.533, -8.619, -8.045, -8.537, -8.491, -8.602, -6.697, -5.928, -7.025, -6.935, -6.957, -6.823, -6.292, -6.873, -6.934, -6.323, -6.982, -7.090